# 1
SnI3F | GGA-PBE | relaxed

Results
Formation energy (no corrections)   0.18 eV per formula unit
Mass density   5.51 g cm⁻³
Fermi-level density of states   1.131 states/eV/atom

a b c (Å): 5.385 5.385 5.385
angles (deg): 90.00 90.00 90.00
Space group Pm-3m (No. 221)
Inequivalent atoms, fractional coordinates:
Sn  0.000  0.000  0.000 x1
I  0.000  0.500  0.500 x3
F  0.500  0.500  0.500 x1



# 2
Sm3Tl3GaSe8 | GGA-PBE | relaxed

Results
Formation energy (no corrections)   -16.47 eV per formula unit
Mass density   6.32 g cm⁻³
Fermi-level density of states   0.367 states/eV/atom

a b c (Å): 14.521 8.381 9.036
angles (deg): 90.00 122.47 90.00
Space group C2/m (No. 12)
Inequivalent atoms, fractional coordinates:
Sm  0.000  0.000  0.000 x2
Sm  0.250  0.250  0.000 x4
Tl  0.000  0.500  0.500 x2
Tl  0.250  0.250  0.500 x4
Ga  0.000  0.500  0.000 x2
Se  0.010  0.270  0.801 x8
Se  0.220  0.500  0.199 x4
Se  0.238  0.000  0.214 x4